Compound: SrCo2O3
Source: OQMD
Functional: GGA+U
Structure: relaxed

Properties
ρ	5.2	g/cm3
V	13.5	Å³ per atom
energy	-5.91	eV per atom

Structure (extended XYZ):
```
6
Lattice="2.045 -5.725 0.000 2.045 5.725 0.000 0.000 0.000 3.451" Properties=species:S:1:pos:R:3 pbc="T T T"
Sr 0.000 0.000 0.000
Co 2.045 1.906 1.726
Co 2.045 -1.906 1.726
O 2.045 3.801 1.726
O 2.045 0.000 1.726
O 2.045 -3.801 1.726
```